Entry 1:
Below is SrTlCuAgRh after structural relaxation, with properties calculated at the PBE level.

Lattice parameters (Å, degrees): 5.023 5.111 5.217 108.05 118.77 90.20
Positions (direct):
Sr1 0.000 0.000 0.000
Tl1 0.734 0.334 0.465
Cu1 0.389 0.295 0.773
Ag1 0.272 0.719 0.545
Rh1 0.614 0.755 0.230

## Properties
Energy above the lowest structure with this stoichiometry (meV/atom): 85
Energy of formation (meV/atom): -19



Entry 2:
Below is PmTl3Sb2S6 after structural relaxation, with properties calculated at the PBE level.

Lattice parameters (Å, degrees): 7.088 7.088 7.793 98.72 98.72 119.97
Positions (direct):
Pm1 0.000 0.000 0.000
Tl1 0.165 0.835 0.500
Tl2 0.500 0.500 0.500
Tl3 0.835 0.165 0.500
Sb1 0.334 0.666 0.000
Sb2 0.666 0.334 0.000
S1 0.068 0.407 0.204
S2 0.272 0.272 0.800
S3 0.407 0.068 0.204
S4 0.593 0.932 0.796
S5 0.728 0.728 0.200
S6 0.932 0.593 0.796

## Properties
Uncorrected formation energy (eV/atom): -0.70



Entry 3:
Below is Na3HfF6 after structural relaxation, with properties calculated at the PBE level.

Lattice parameters (Å, degrees): 6.798 6.798 6.798 91.12 91.12 91.12
Positions (direct):
Na1 0.031 0.539 0.736
Na2 0.264 0.969 0.461
Na3 0.461 0.264 0.969
Na4 0.539 0.736 0.031
Na5 0.736 0.031 0.539
Na6 0.969 0.461 0.264
Hf1 0.000 0.000 0.000
Hf2 0.500 0.500 0.500
F1 0.032 0.950 0.710
F2 0.050 0.290 0.968
F3 0.212 0.616 0.460
F4 0.290 0.968 0.050
F5 0.384 0.540 0.788
F6 0.460 0.212 0.616
F7 0.540 0.788 0.384
F8 0.616 0.460 0.212
F9 0.710 0.032 0.950
F10 0.788 0.384 0.540
F11 0.950 0.710 0.032
F12 0.968 0.050 0.290

## Properties
Uncorrected formation energy (eV/atom): -3.03



Entry 4:
Below is ErSiH after structural relaxation, with properties calculated at the PBE level.

Lattice parameters (Å, degrees): 3.955 3.836 6.015 90.00 109.15 90.00
Positions (direct):
Er1 0.147 0.250 0.295
Er2 0.853 0.750 0.705
Si1 0.440 0.250 0.879
Si2 0.560 0.750 0.121
H1 0.253 0.750 0.508
H2 0.747 0.250 0.492

## Properties
Energy above the lowest structure with this stoichiometry (meV/atom): 0



Entry 5:
Below is CrI3 after structural relaxation, with properties calculated at the PBE level.

Lattice parameters (Å, degrees): 8.483 3.647 10.818 90.00 98.45 90.00
Positions (direct):
Cr1 0.192 0.250 0.277
Cr2 0.808 0.750 0.723
I1 0.045 0.250 0.809
I2 0.247 0.750 0.472
I3 0.378 0.750 0.167
I4 0.622 0.250 0.833
I5 0.753 0.250 0.528
I6 0.955 0.750 0.191

## Properties
Uncorrected formation energy (eV/atom): -0.21



Entry 6:
Below is RbZn2RhF8 after structural relaxation, with properties calculated at the PBE level.

Lattice parameters (Å, degrees): 9.617 9.617 9.617 29.66 29.66 29.66
Positions (direct):
Rb1 0.000 0.000 0.000
Zn1 0.235 0.235 0.235
Zn2 0.765 0.765 0.765
Rh1 0.500 0.500 0.500
F1 0.178 0.389 0.784
F2 0.216 0.611 0.822
F3 0.303 0.303 0.303
F4 0.389 0.784 0.178
F5 0.611 0.822 0.216
F6 0.697 0.697 0.697
F7 0.784 0.178 0.389
F8 0.822 0.216 0.611

## Properties
Uncorrected formation energy (eV/atom): -1.92



Entry 7:
Below is ReMo5 after structural relaxation, with properties calculated at the PBE level.

Lattice parameters (Å, degrees): 5.066 5.066 4.599 90.00 90.00 120.00
Positions (direct):
Re1 0.000 0.000 0.000
Mo1 0.000 0.500 0.500
Mo2 0.333 0.667 0.000
Mo3 0.500 0.000 0.500
Mo4 0.500 0.500 0.500
Mo5 0.667 0.333 0.000

## Properties
Energy above the lowest structure with this stoichiometry (meV/atom): 689
Energy of formation (meV/atom): 701